Entry 1:
## RbNi2AuCl (PBE-GGA)

Data for a geometry-optimized RbNi2AuCl structure.

Cell lengths 4.7687, 4.7687, 7.2008 Å; angles 90.00, 90.00, 90.00 degrees
Closest atoms and distances in Å follow each position.
Space group P4/mmm (No. 123)
Symmetry-distinct sites (fractional):
1 Rb 0.0000 0.0000 0.0000  4 Cl 3.37, 2 Au 3.60
2 Ni 0.0000 0.5000 0.5000  2 Au 2.38
3 Au 0.0000 0.0000 0.5000  4 Ni 2.38
4 Cl 0.5000 0.5000 0.0000  4 Rb 3.37

Output
V ... 32.75 A^3/atom

Entry 2:
## Li3ErPb3 (PBE-GGA)

Data for a geometry-optimized Li3ErPb3 structure.

Cell lengths 7.2476, 7.2476, 7.2476 Å; angles 90.00, 90.00, 90.00 degrees
Closest atoms and distances in Å follow each position.
Space group Pm-3n (No. 223)
Symmetry-distinct sites (fractional):
1 Li 0.0000 0.2500 0.5000  4 Pb 2.56
2 Er 0.0000 0.0000 0.0000  12 Pb 4.05, 12 Li 4.05
3 Pb 0.0000 0.5000 0.2500  4 Li 2.56

Output
ΔE_f ... 0.276 eV per atom
V ... 27.19 A^3/atom

Entry 3:
## IrRu (PBE-GGA)

Data for a geometry-optimized IrRu structure.

Cell lengths 2.7181, 10.0937, 4.2278 Å; angles 90.00, 90.00, 90.00 degrees
Closest atoms and distances in Å follow each position.
Space group Cmcm (No. 63)
Symmetry-distinct sites (fractional):
1 Ir 0.0000 0.0741 0.2500  7 Ru 2.58-2.82, 4 Ir 2.59-2.72
2 Ru 0.0000 0.3298 0.2500  7 Ir 2.58-2.82, 2 Ru 2.72

Output
ΔE_f ... 0.113 eV per atom
V ... 14.50 A^3/atom
Relative energy among the computed polymorphs ... 169 meV/atom

Entry 4:
## KRbLi2O (PBE-GGA)

Data for a geometry-optimized KRbLi2O structure.

Cell lengths 5.5543, 5.5543, 7.5241 Å; angles 90.00, 90.00, 90.00 degrees
Closest atoms and distances in Å follow each position.
Space group P4/mmm (No. 123)
Symmetry-distinct sites (fractional):
1 K 0.0000 0.0000 0.0000  4 Li 2.78
2 Rb 0.0000 0.0000 0.5000  2 K 3.76, 4 O 3.93
3 Li 0.0000 0.5000 0.0000  2 K 2.78
4 O 0.5000 0.5000 0.5000  4 Rb 3.93

Output
V ... 46.42 A^3/atom

Calculated uncorrected energy (eV for the cell shown), listed in the same order as above: -15.63, -38.99, -71.64, -7.01